# 1
VASP calculation (PBE) on a relaxed AcInCu crystal.

## Properties
relative energy among the computed polymorphs	605	meV per atom
ρ	6.69	g/cm3
M_tot	0.0	μB/f.u.
SG	No. 216
crystal system	cubic

abc: 5.2195 5.2195 5.2195
angles: 60.00 60.00 60.00
Positions (direct):
Ac 0.0000 0.0000 0.0000
In 0.2500 0.2500 0.2500
Cu 0.7500 0.7500 0.7500

=====

# 2
VASP calculation (PBE) on a relaxed AcCuIr crystal.

## Properties
ΔE_f	1.59	eV/f.u.
ρ	10.21	g/cm3
M_tot	0.0	μB/f.u.
SG	No. 216
crystal system	cubic

abc: 4.8070 4.8070 4.8070
angles: 60.00 60.00 60.00
Positions (direct):
Ac 0.0000 0.0000 0.0000
Cu 0.7500 0.7500 0.7500
Ir 0.2500 0.2500 0.2500

=====

# 3
VASP calculation (PBE) on a relaxed Ac2Cu3Ir crystal.

## Properties
ΔE_f	-1.92	eV/f.u.
ρ	10.17	g/cm3
M_tot	0.0	μB/f.u.
SG	No. 25
crystal system	orthorhombic

abc: 4.1629 4.3430 7.5549
angles: 90.00 90.00 90.00
Positions (direct):
Ac 0.0000 0.0000 0.0000
Ac 0.0000 0.5000 0.4703
Cu 0.5000 0.0000 0.6547
Cu 0.5000 0.5000 0.1440
Cu 0.5000 0.5000 0.8173
Ir 0.5000 0.0000 0.3192

=====

# 4
VASP calculation (PBE) on a relaxed Li2Ac2Cu15 crystal.

## Properties
ρ	8.35	g/cm3
DFT total energy	-69.7	eV/f.u.
M_tot	0.0	μB/f.u.
SG	No. 166
crystal system	trigonal

abc: 6.6074 6.6074 6.6074
angles: 83.13 83.13 83.13
Positions (direct):
Li 0.0912 0.0912 0.0912
Li 0.9088 0.9088 0.9088
Ac 0.3435 0.3435 0.3435
Ac 0.6565 0.6565 0.6565
Cu 0.0000 0.0000 0.5000
Cu 0.0000 0.2900 0.7100
Cu 0.0000 0.5000 0.0000
Cu 0.0000 0.7100 0.2900
Cu 0.1557 0.6609 0.6609
Cu 0.2900 0.0000 0.7100
Cu 0.2900 0.7100 0.0000
Cu 0.3391 0.3391 0.8443
Cu 0.3391 0.8443 0.3391
Cu 0.5000 0.0000 0.0000
Cu 0.6609 0.1557 0.6609
Cu 0.6609 0.6609 0.1557
Cu 0.7100 0.0000 0.2900
Cu 0.7100 0.2900 0.0000
Cu 0.8443 0.3391 0.3391

=====

# 5
VASP calculation (PBE) on a relaxed LiAcCu crystal.

## Properties
relative energy among the computed polymorphs	453	meV per atom
ρ	5.72	g/cm3
M_tot	0.1	μB/f.u.
SG	No. 216
crystal system	cubic

abc: 4.9617 4.9617 4.9617
angles: 60.00 60.00 60.00
Positions (direct):
Li 0.0000 0.0000 0.0000
Ac 0.7500 0.7500 0.7500
Cu 0.5000 0.5000 0.5000

=====

# 6
VASP calculation (PBE) on a relaxed AcLuCu crystal.

## Properties
ΔE_f	2.55	eV/f.u.
relative energy among the computed polymorphs	737	meV per atom
ρ	8.26	g/cm3
M_tot	0.0	μB/f.u.
SG	No. 216
crystal system	cubic

abc: 5.0960 5.0960 5.0960
angles: 60.00 60.00 60.00
Positions (direct):
Ac 0.0000 0.0000 0.0000
Lu 0.2500 0.2500 0.2500
Cu 0.7500 0.7500 0.7500

=====

# 7
VASP calculation (PBE) on a relaxed AcLuCu crystal.

## Properties
ΔE_f	0.34	eV/f.u.
relative energy among the computed polymorphs	0	meV per atom
ρ	8.50	g/cm3
M_tot	0.0	μB/f.u.
SG	No. 216
crystal system	cubic

abc: 5.0486 5.0486 5.0486
angles: 60.00 60.00 60.00
Positions (direct):
Ac 0.0000 0.0000 0.0000
Lu 0.5000 0.5000 0.5000
Cu 0.2500 0.2500 0.2500

=====

# 8
VASP calculation (PBE) on a relaxed AcMg2Cu crystal.

## Properties
ρ	5.69	g/cm3
DFT total energy	-11.5	eV/f.u.
M_tot	0.0	μB/f.u.
SG	No. 63
crystal system	orthorhombic

abc: 5.8113 5.8113 8.1758
angles: 90.00 90.00 134.19
Positions (direct):
Ac 0.0530 0.9470 0.7500
Ac 0.9470 0.0530 0.2500
Mg 0.3421 0.6579 0.5564
Mg 0.3421 0.6579 0.9436
Mg 0.6579 0.3421 0.0564
Mg 0.6579 0.3421 0.4436
Cu 0.2324 0.7676 0.2500
Cu 0.7676 0.2324 0.7500

=====

# 9
VASP calculation (PBE) on a relaxed AcCuMo crystal.

## Properties
ΔE_f	4.37	eV/f.u.
ρ	8.18	g/cm3
M_tot	2.3	μB/f.u.
SG	No. 216
crystal system	cubic

abc: 4.8060 4.8060 4.8060
angles: 60.00 60.00 60.00
Positions (direct):
Ac 0.0000 0.0000 0.0000
Cu 0.7500 0.7500 0.7500
Mo 0.2500 0.2500 0.2500

=====

# 10
VASP calculation (PBE) on a relaxed NaAcCu crystal.

## Properties
ρ	5.26	g/cm3
DFT total energy	-7.3	eV/f.u.
M_tot	0.0	μB/f.u.
SG	No. 216
crystal system	cubic

abc: 5.1915 5.1915 5.1915
angles: 60.00 60.00 60.00
Positions (direct):
Na 0.0000 0.0000 0.0000
Ac 0.7500 0.7500 0.7500
Cu 0.5000 0.5000 0.5000

=====

# 11
VASP calculation (PBE) on a relaxed AcNbCu crystal.

## Properties
ΔE_f	3.08	eV/f.u.
ρ	8.42	g/cm3
M_tot	1.3	μB/f.u.
SG	No. 216
crystal system	cubic

abc: 4.7475 4.7475 4.7475
angles: 60.00 60.00 60.00
Positions (direct):
Ac 0.0000 0.0000 0.0000
Nb 0.2500 0.2500 0.2500
Cu 0.5000 0.5000 0.5000

=====

# 12
VASP calculation (PBE) on a relaxed AcCuNi crystal.

## Properties
ΔE_f	0.01	eV/f.u.
relative energy among the computed polymorphs	263	meV per atom
ρ	8.37	g/cm3
M_tot	0.0	μB/f.u.
SG	No. 216
crystal system	cubic

abc: 4.6109 4.6109 4.6109
angles: 60.00 60.00 60.00
Positions (direct):
Ac 0.0000 0.0000 0.0000
Cu 0.5000 0.5000 0.5000
Ni 0.2500 0.2500 0.2500

=====

# 13
VASP calculation (PBE) on a relaxed AcCuNi crystal.

## Properties
ΔE_f	1.44	eV/f.u.
relative energy among the computed polymorphs	741	meV per atom
ρ	7.21	g/cm3
M_tot	0.0	μB/f.u.
SG	No. 216
crystal system	cubic

abc: 4.8457 4.8457 4.8457
angles: 60.00 60.00 60.00
Positions (direct):
Ac 0.0000 0.0000 0.0000
Cu 0.7500 0.7500 0.7500
Ni 0.2500 0.2500 0.2500

=====

# 14
VASP calculation (PBE) on a relaxed AcPaCu crystal.

## Properties
ΔE_f	3.07	eV/f.u.
relative energy among the computed polymorphs	0	meV per atom
ρ	10.23	g/cm3
M_tot	1.1	μB/f.u.
SG	No. 216
crystal system	cubic

abc: 4.9293 4.9293 4.9293
angles: 60.00 60.00 60.00
Positions (direct):
Ac 0.0000 0.0000 0.0000
Pa 0.2500 0.2500 0.2500
Cu 0.5000 0.5000 0.5000

=====

# 15
VASP calculation (PBE) on a relaxed Ac2PaCu2 crystal.

## Properties
ΔE_f	3.65	eV/f.u.
ρ	9.67	g/cm3
M_tot	0.3	μB/f.u.
SG	No. 141
crystal system	tetragonal

abc: 9.1795 9.1795 9.1795
angles: 142.95 142.95 53.39
Positions (direct):
Ac 0.0744 0.3244 0.7500
Ac 0.3244 0.0744 0.2500
Ac 0.6756 0.9256 0.7500
Ac 0.9256 0.6756 0.2500
Pa 0.1250 0.8750 0.2500
Pa 0.8750 0.1250 0.7500
Cu 0.0000 0.5000 0.5000
Cu 0.5000 0.0000 0.0000
Cu 0.5000 0.5000 0.0000
Cu 0.5000 0.5000 0.5000

=====

# 16
VASP calculation (PBE) on a relaxed AcCuPd crystal.

## Properties
ΔE_f	0.20	eV/f.u.
relative energy among the computed polymorphs	389	meV per atom
ρ	7.70	g/cm3
M_tot	0.0	μB/f.u.
SG	No. 216
crystal system	cubic

abc: 4.9464 4.9464 4.9464
angles: 60.00 60.00 60.00
Positions (direct):
Ac 0.0000 0.0000 0.0000
Cu 0.7500 0.7500 0.7500
Pd 0.2500 0.2500 0.2500

=====

# 17
VASP calculation (PBE) on a relaxed Ac3Cu2Pd4 crystal.

## Properties
ΔE_f	-5.93	eV/f.u.
ρ	9.52	g/cm3
M_tot	0.0	μB/f.u.
SG	No. 12
crystal system	monoclinic

abc: 6.0966 6.0966 8.8479
angles: 106.02 106.02 43.24
Positions (direct):
Ac 0.0000 0.0000 0.0000
Ac 0.3345 0.3345 0.3299
Ac 0.6655 0.6655 0.6701
Cu 0.3886 0.3886 0.7171
Cu 0.6114 0.6114 0.2829
Pd 0.0612 0.0612 0.3861
Pd 0.2845 0.2845 0.9346
Pd 0.7155 0.7155 0.0654
Pd 0.9388 0.9388 0.6139

=====

# 18
VASP calculation (PBE) on a relaxed AcCuSb2Pd crystal.

## Properties
ρ	9.03	g/cm3
DFT total energy	-24.8	eV/f.u.
M_tot	0.0	μB/f.u.
SG	No. 129
crystal system	tetragonal

abc: 4.6505 4.6505 10.8886
angles: 90.00 90.00 90.00
Positions (direct):
Ac 0.2500 0.2500 0.2379
Ac 0.7500 0.7500 0.7621
Cu 0.2500 0.7500 0.0000
Cu 0.7500 0.2500 0.0000
Sb 0.2500 0.2500 0.8773
Sb 0.2500 0.7500 0.5000
Sb 0.7500 0.2500 0.5000
Sb 0.7500 0.7500 0.1227
Pd 0.2500 0.2500 0.6328
Pd 0.7500 0.7500 0.3672

=====

# 19
VASP calculation (PBE) on a relaxed AcPuCu crystal.

## Properties
ΔE_f	0.84	eV/f.u.
relative energy among the computed polymorphs	0	meV per atom
ρ	10.47	g/cm3
M_tot	6.5	μB/f.u.
SG	No. 216
crystal system	cubic

abc: 4.9310 4.9310 4.9310
angles: 60.00 60.00 60.00
Positions (direct):
Ac 0.0000 0.0000 0.0000
Pu 0.5000 0.5000 0.5000
Cu 0.2500 0.2500 0.2500

=====

# 20
VASP calculation (PBE) on a relaxed RbAcCu crystal.

## Properties
relative energy among the computed polymorphs	0	meV per atom
ρ	5.48	g/cm3
M_tot	0.0	μB/f.u.
SG	No. 216
crystal system	cubic

abc: 5.4418 5.4418 5.4418
angles: 60.00 60.00 60.00
Positions (direct):
Rb 0.0000 0.0000 0.0000
Ac 0.5000 0.5000 0.5000
Cu 0.7500 0.7500 0.7500

=====

# 21
VASP calculation (PBE) on a relaxed AcCuRe crystal.

## Properties
ΔE_f	4.93	eV/f.u.
relative energy among the computed polymorphs	617	meV per atom
ρ	9.67	g/cm3
M_tot	3.0	μB/f.u.
SG	No. 216
crystal system	cubic

abc: 4.8744 4.8744 4.8744
angles: 60.00 60.00 60.00
Positions (direct):
Ac 0.0000 0.0000 0.0000
Cu 0.7500 0.7500 0.7500
Re 0.2500 0.2500 0.2500

=====

# 22
VASP calculation (PBE) on a relaxed AcCuRe crystal.

## Properties
ΔE_f	3.08	eV/f.u.
relative energy among the computed polymorphs	0	meV per atom
ρ	11.34	g/cm3
M_tot	0.3	μB/f.u.
SG	No. 216
crystal system	cubic

abc: 4.6225 4.6225 4.6225
angles: 60.00 60.00 60.00
Positions (direct):
Ac 0.0000 0.0000 0.0000
Cu 0.5000 0.5000 0.5000
Re 0.2500 0.2500 0.2500

=====

# 23
VASP calculation (PBE) on a relaxed Ac3Cu4Sn4 crystal.

## Properties
ρ	8.36	g/cm3
DFT total energy	-48.7	eV/f.u.
M_tot	0.0	μB/f.u.
SG	No. 2
crystal system	triclinic

abc: 4.6266 4.6358 13.4572
angles: 99.83 99.87 90.00
Positions (direct):
Ac 0.0000 0.0000 0.0000
Ac 0.1571 0.6563 0.3123
Ac 0.8429 0.3437 0.6877
Cu 0.2502 0.2505 0.4997
Cu 0.4011 0.9027 0.8032
Cu 0.5989 0.0973 0.1968
Cu 0.7498 0.7495 0.5003
Sn 0.3010 0.8018 0.6035
Sn 0.4430 0.4450 0.8886
Sn 0.5570 0.5550 0.1114
Sn 0.6990 0.1982 0.3965

=====

# 24
VASP calculation (PBE) on a relaxed Ac2CuSn3 crystal.

## Properties
ρ	8.15	g/cm3
DFT total energy	-27.4	eV/f.u.
M_tot	0.0	μB/f.u.
SG	No. 69
crystal system	orthorhombic

abc: 9.4080 9.3827 6.6113
angles: 69.61 69.20 41.20
Positions (direct):
Ac 0.2385 0.7615 0.7615
Ac 0.2500 0.2500 0.2500
Ac 0.7500 0.7500 0.7500
Ac 0.7615 0.2385 0.2385
Cu 0.3304 0.3304 0.6696
Cu 0.6696 0.6696 0.3304
Sn 0.1737 0.1737 0.8263
Sn 0.1833 0.6412 0.3588
Sn 0.3588 0.8167 0.1833
Sn 0.6412 0.1833 0.8167
Sn 0.8167 0.3588 0.6412
Sn 0.8263 0.8263 0.1737

=====

# 25
VASP calculation (PBE) on a relaxed AcTaCu crystal.

## Properties
ΔE_f	4.98	eV/f.u.
relative energy among the computed polymorphs	465	meV per atom
ρ	9.39	g/cm3
M_tot	1.2	μB/f.u.
SG	No. 216
crystal system	cubic

abc: 4.9037 4.9037 4.9037
angles: 60.00 60.00 60.00
Positions (direct):
Ac 0.0000 0.0000 0.0000
Ta 0.2500 0.2500 0.2500
Cu 0.7500 0.7500 0.7500

=====

# 26
VASP calculation (PBE) on a relaxed AcTaCu crystal.

## Properties
ΔE_f	3.59	eV/f.u.
relative energy among the computed polymorphs	0	meV per atom
ρ	10.33	g/cm3
M_tot	1.0	μB/f.u.
SG	No. 216
crystal system	cubic

abc: 4.7502 4.7502 4.7502
angles: 60.00 60.00 60.00
Positions (direct):
Ac 0.0000 0.0000 0.0000
Ta 0.7500 0.7500 0.7500
Cu 0.5000 0.5000 0.5000

=====

# 27
VASP calculation (PBE) on a relaxed AcThCu crystal.

## Properties
ΔE_f	2.60	eV/f.u.
relative energy among the computed polymorphs	0	meV per atom
ρ	9.78	g/cm3
M_tot	0.0	μB/f.u.
SG	No. 216
crystal system	cubic

abc: 5.0066 5.0066 5.0066
angles: 60.00 60.00 60.00
Positions (direct):
Ac 0.0000 0.0000 0.0000
Th 0.2500 0.2500 0.2500
Cu 0.5000 0.5000 0.5000

=====

# 28
VASP calculation (PBE) on a relaxed AcTlCu crystal.

## Properties
relative energy among the computed polymorphs	167	meV per atom
ρ	8.11	g/cm3
M_tot	0.0	μB/f.u.
SG	No. 216
crystal system	cubic

abc: 5.2341 5.2341 5.2341
angles: 60.00 60.00 60.00
Positions (direct):
Ac 0.0000 0.0000 0.0000
Tl 0.2500 0.2500 0.2500
Cu 0.7500 0.7500 0.7500

=====

# 29
VASP calculation (PBE) on a relaxed AcTlCu crystal.

## Properties
relative energy among the computed polymorphs	0	meV per atom
ρ	8.66	g/cm3
M_tot	0.3	μB/f.u.
SG	No. 216
crystal system	cubic

abc: 5.1197 5.1197 5.1197
angles: 60.00 60.00 60.00
Positions (direct):
Ac 0.0000 0.0000 0.0000
Tl 0.2500 0.2500 0.2500
Cu 0.5000 0.5000 0.5000